Record 1
Material: La2Cu5Ni5
Method: DFT, meta-GGA SCAN
State: PBEsol geometry

Unit cell a=3.9138 b=5.0310 c=8.6725 alpha=90.00 beta=90.00 gamma=90.00
Fractional coordinates of all 12 atoms:
La: 0.0000 0.5000 0.0000
La: 0.0000 0.0000 0.5000
Cu: 0.0000 0.5000 0.3301
Cu: 0.0000 0.0000 0.8330
Cu: 0.0000 0.0000 0.1670
Cu: 0.0000 0.5000 0.6699
Cu: 0.5000 0.5000 0.5000
Ni: 0.5000 0.0000 0.0000
Ni: 0.5000 0.7512 0.2490
Ni: 0.5000 0.2488 0.7510
Ni: 0.5000 0.2488 0.2490
Ni: 0.5000 0.7512 0.7510

Values from the calculation:
SG: Pmmm (47)
E_form (meV per atom): -222

=====

Record 2
Material: LaCu2Ni2
Method: DFT, meta-GGA SCAN
State: PBEsol geometry

Unit cell a=3.7980 b=3.7980 c=5.9581 alpha=108.59 beta=108.59 gamma=90.00
Fractional coordinates of all 5 atoms:
Ni: 0.3906 0.3906 0.7812
Ni: 0.6094 0.6094 0.2188
Cu: 0.2500 0.7500 0.5000
Cu: 0.7500 0.2500 0.5000
La: 0.0000 0.0000 0.0000

Values from the calculation:
SG: I4/mmm (139)
E_form (meV per atom): -124

=====

Record 3
Material: La2CuNi
Method: DFT, meta-GGA SCAN
State: PBEsol geometry

Unit cell a=3.5249 b=3.5233 c=7.0885 alpha=90.00 beta=89.66 gamma=90.00
Fractional coordinates of all 4 atoms:
Ni: 0.5000 0.5000 0.0000
Cu: 0.5000 0.5000 0.5000
La: 0.9975 0.0000 0.7609
La: 0.0025 0.0000 0.2391

Values from the calculation:
SG: P2/m (10)
E_form (meV per atom): -166

=====

Record 4
Material: La2CuNi
Method: DFT, meta-GGA SCAN
State: PBEsol geometry

Unit cell a=3.5114 b=4.4033 c=6.1075 alpha=111.09 beta=106.71 gamma=90.00
Fractional coordinates of all 4 atoms:
Cu: 0.1976 0.6977 0.3952
La: 0.9824 0.9823 0.9649
La: 0.7808 0.2811 0.5615
Ni: 0.5392 0.5389 0.0783

Values from the calculation:
SG: Imm2 (44)
E_form (meV per atom): -122

=====

Record 5
Material: La2CuNi
Method: DFT, meta-GGA SCAN
State: PBEsol geometry

Unit cell a=3.5247 b=4.9961 c=4.9961 alpha=90.00 beta=90.00 gamma=90.00
Fractional coordinates of all 4 atoms:
Ni: 0.5000 0.0000 0.0000
Cu: 0.5000 0.5000 0.5000
La: 0.0000 0.0000 0.5000
La: 0.0000 0.5000 0.0000

Values from the calculation:
SG: P4/mmm (123)
E_form (meV per atom): -163

=====

Record 6
Material: LaCuNi4
Method: DFT, meta-GGA SCAN
State: PBEsol geometry

Unit cell a=3.9235 b=4.9451 c=4.9451 alpha=120.00 beta=90.00 gamma=90.00
Fractional coordinates of all 6 atoms:
La: 0.0000 0.0000 0.0000
Cu: 0.0000 0.6667 0.3333
Ni: 0.0000 0.3333 0.6667
Ni: 0.5000 0.0019 0.5009
Ni: 0.5000 0.4991 0.9981
Ni: 0.5000 0.4991 0.5009

Values from the calculation:
SG: P-6m2 (187)
E_form (meV per atom): -233

=====

Record 7
Material: La2CuNi
Method: DFT, meta-GGA SCAN
State: PBEsol geometry

Unit cell a=3.8405 b=4.4047 c=5.7059 alpha=90.00 beta=109.67 gamma=90.00
Fractional coordinates of all 4 atoms:
Ni: 0.6842 0.0000 0.3683
Cu: 0.5553 0.5000 0.1106
La: 0.9846 0.0000 0.9692
La: 0.2603 0.5000 0.5206

Values from the calculation:
SG: Amm2 (38)
E_form (meV per atom): -236

=====

Record 8
Material: La4CuNiO8
Method: DFT, meta-GGA SCAN
State: PBEsol geometry

Unit cell a=3.7697 b=6.9376 c=7.5409 alpha=105.58 beta=90.00 gamma=105.76
Fractional coordinates of all 14 atoms:
La: 0.6390 0.2780 0.8176
La: 0.3610 0.7220 0.1824
La: 0.6354 0.2708 0.3160
La: 0.3646 0.7292 0.6840
Cu: 0.0000 0.0000 0.5000
Ni: 0.0000 0.0000 0.0000
O: 0.5000 0.0000 0.5000
O: 0.5000 0.0000 0.0000
O: 0.8233 0.6466 0.9175
O: 0.1767 0.3534 0.0825
O: 0.8137 0.6274 0.3955
O: 0.1863 0.3726 0.6045
O: 0.9980 0.9959 0.7519
O: 0.0020 0.0041 0.2481

Values from the calculation:
Raw formation energy (eV per atom): -2.96
SG: C2/m (12)

=====

Record 9
Material: Sr5La5CuNi4O20
Method: DFT, meta-GGA SCAN
State: PBEsol geometry

Unit cell a=6.6765 b=8.5196 c=8.5168 alpha=90.05 beta=67.34 gamma=82.63
Fractional coordinates of all 35 atoms:
Sr: 0.2819 0.8722 0.6167
Sr: 0.2827 0.6717 0.0142
Sr: 0.2805 0.4718 0.4168
Sr: 0.2818 0.2710 0.8137
Sr: 0.7117 0.1284 0.3857
La: 0.7271 0.9284 0.7825
La: 0.7250 0.7291 0.1839
La: 0.7241 0.5268 0.5817
La: 0.7241 0.3264 0.9839
La: 0.2669 0.0735 0.2194
Cu: 0.0057 0.9993 0.9983
Ni: 0.0048 0.7991 0.3991
Ni: 0.0080 0.5985 0.7978
Ni: 0.0048 0.4004 0.1982
Ni: 0.0011 0.2002 0.5993
O: 0.9957 0.8977 0.2045
O: 0.9916 0.0008 0.5021
O: 0.6833 0.8226 0.4959
O: 0.9922 0.6991 0.6019
O: 0.3491 0.9670 0.9019
O: 0.9935 0.7963 0.9013
O: 0.6842 0.6294 0.8969
O: 0.9933 0.5008 0.0019
O: 0.3306 0.7751 0.2997
O: 0.9968 0.6003 0.3008
O: 0.6822 0.4424 0.2924
O: 0.9898 0.3023 0.4032
O: 0.3323 0.5659 0.7001
O: 0.9895 0.4013 0.7036
O: 0.6808 0.2353 0.7036
O: 0.9939 0.1032 0.7989
O: 0.3301 0.3600 0.1039
O: 0.9942 0.2049 0.1024
O: 0.6515 0.0328 0.0975
O: 0.3154 0.1659 0.4963

Values from the calculation:
Raw formation energy (eV per atom): -2.70
SG: P1 (1)

=====

Record 10
Material: LaCuSi2Ni
Method: DFT, meta-GGA SCAN
State: PBEsol geometry

Unit cell a=4.0954 b=4.0954 c=5.6232 alpha=111.36 beta=111.36 gamma=90.00
Fractional coordinates of all 5 atoms:
Ni: 0.2500 0.7500 0.5000
Si: 0.3719 0.3719 0.7439
Si: 0.6281 0.6281 0.2561
Cu: 0.7500 0.2500 0.5000
La: 0.0000 0.0000 0.0000

Values from the calculation:
Raw formation energy (eV per atom): -0.69
SG: I-4m2 (119)

=====

Record 11
Material: LaCu2O4
Method: DFT, meta-GGA SCAN
State: PBEsol geometry

Unit cell a=5.8283 b=6.3691 c=5.8283 alpha=117.23 beta=90.00 gamma=117.23
Fractional coordinates of all 14 atoms:
La: 0.0000 0.0000 0.0000
La: 0.2500 0.5000 0.7500
Cu: 0.6250 0.2500 0.8750
Cu: 0.6250 0.2500 0.3750
Cu: 0.6250 0.7500 0.3750
Cu: 0.1250 0.7500 0.3750
O: 0.2729 0.0986 0.4060
O: 0.8257 0.0986 0.6926
O: 0.9771 0.4014 0.3440
O: 0.4243 0.4014 0.0574
O: 0.9426 0.5986 0.0229
O: 0.6560 0.5986 0.5757
O: 0.5940 0.9014 0.1743
O: 0.3074 0.9014 0.7271

Values from the calculation:
Raw formation energy (eV per atom): -1.90
SG: I4_1/a (88)

=====

Record 12
Material: La12Cu6O25
Method: DFT, meta-GGA SCAN
State: PBEsol geometry

Unit cell a=7.5887 b=8.8019 c=8.8019 alpha=94.27 beta=102.46 gamma=102.46
Fractional coordinates of all 43 atoms:
La: 0.0826 0.9708 0.3555
La: 0.7462 0.0311 0.9737
La: 0.7515 0.3075 0.6870
La: 0.5802 0.9665 0.3560
La: 0.9174 0.6445 0.0292
La: 0.9155 0.3610 0.3092
La: 0.2538 0.0263 0.9689
La: 0.2485 0.3130 0.6925
La: 0.5899 0.6869 0.6458
La: 0.4101 0.3542 0.3131
La: 0.0845 0.6908 0.6390
La: 0.4198 0.6440 0.0335
Cu: 0.0833 0.3343 0.9995
Cu: 0.9167 0.0005 0.6657
Cu: 0.7510 0.6616 0.3381
Cu: 0.5835 0.3366 0.9993
Cu: 0.4165 0.0007 0.6634
Cu: 0.2490 0.6619 0.3384
O: 0.0000 0.1631 0.8369
O: 0.9020 0.1697 0.4843
O: 0.9290 0.8244 0.8446
O: 0.0710 0.1554 0.1756
O: 0.8313 0.3421 0.9904
O: 0.5000 0.1777 0.8223
O: 0.0000 0.6804 0.3196
O: 0.6662 0.0022 0.6686
O: 0.8322 0.8284 0.5037
O: 0.3930 0.1249 0.4309
O: 0.7478 0.8465 0.1523
O: 0.8121 0.4955 0.5162
O: 0.5865 0.1390 0.1633
O: 0.4135 0.8367 0.8610
O: 0.6070 0.5691 0.8751
O: 0.6619 0.4852 0.1831
O: 0.3338 0.3314 0.9978
O: 0.5000 0.4102 0.5898
O: 0.3381 0.8169 0.5148
O: 0.1687 0.0096 0.6579
O: 0.5000 0.6577 0.3423
O: 0.0980 0.5157 0.8303
O: 0.2522 0.8477 0.1535
O: 0.1879 0.4838 0.5045
O: 0.1678 0.4963 0.1716

Values from the calculation:
Raw formation energy (eV per atom): -2.84
SG: C2 (5)

=====

Record 13
Material: La5Cu5O13
Method: DFT, meta-GGA SCAN
State: PBEsol geometry

Unit cell a=3.8476 b=8.4141 c=8.4152 alpha=90.01 beta=90.00 gamma=90.00
Fractional coordinates of all 23 atoms:
La: 0.5000 0.2751 0.1366
La: 0.5000 0.8635 0.2751
La: 0.5000 0.5000 0.5000
La: 0.5000 0.1365 0.7249
La: 0.5000 0.7249 0.8634
Cu: 0.0000 0.0000 0.0000
Cu: 0.0000 0.5756 0.1670
Cu: 0.0000 0.1669 0.4244
Cu: 0.0000 0.8331 0.5756
Cu: 0.0000 0.4244 0.8330
O: 0.5000 0.0000 0.0000
O: 0.0000 0.7644 0.0473
O: 0.5000 0.5749 0.1753
O: 0.0000 0.0475 0.2353
O: 0.0000 0.3925 0.2943
O: 0.0000 0.7061 0.3923
O: 0.5000 0.1751 0.4250
O: 0.5000 0.8249 0.5750
O: 0.0000 0.2939 0.6077
O: 0.0000 0.6075 0.7057
O: 0.0000 0.9525 0.7647
O: 0.5000 0.4251 0.8247
O: 0.0000 0.2356 0.9527

Values from the calculation:
Raw formation energy (eV per atom): -2.40
SG: P4/m (83)

=====

Record 14
Material: La8Cu3O16
Method: DFT, meta-GGA SCAN
State: PBEsol geometry

Unit cell a=7.0120 b=7.4246 c=8.2941 alpha=116.67 beta=96.72 gamma=105.31
Fractional coordinates of all 27 atoms:
La: 0.2693 0.4870 0.3240
La: 0.7251 0.5251 0.6734
La: 0.2740 0.9715 0.3245
La: 0.2779 0.2151 0.8106
La: 0.2769 0.7318 0.8114
La: 0.7299 0.0095 0.6736
La: 0.7214 0.2819 0.1874
La: 0.7221 0.7650 0.1862
Cu: 0.9996 0.2484 0.4989
Cu: 0.9991 0.4985 0.9993
Cu: 0.0000 0.9982 0.9985
O: 0.9942 0.1214 0.2471
O: 0.6347 0.1117 0.4091
O: 0.9956 0.6213 0.2452
O: 0.9979 0.4923 0.4996
O: 0.6274 0.6092 0.4066
O: 0.6377 0.3653 0.9125
O: 0.6379 0.8582 0.9010
O: 0.3718 0.8877 0.5913
O: 0.0036 0.8755 0.7526
O: 0.0012 0.0044 0.4981
O: 0.9998 0.7485 0.9989
O: 0.9993 0.2483 0.9988
O: 0.3644 0.3849 0.5886
O: 0.3611 0.6381 0.0968
O: 0.3616 0.1323 0.0853
O: 0.0050 0.3753 0.7506

Values from the calculation:
Raw formation energy (eV per atom): -2.96
SG: P-1 (2)

=====

Record 15
Material: La3Cu4P4O2
Method: DFT, meta-GGA SCAN
State: PBEsol geometry

Unit cell a=3.9934 b=3.9934 c=13.5056 alpha=98.50 beta=98.50 gamma=90.00
Fractional coordinates of all 13 atoms:
La: 0.7034 0.7034 0.4067
La: 0.2966 0.2966 0.5933
La: 0.0000 0.0000 0.0000
Cu: 0.0935 0.5935 0.1870
Cu: 0.4065 0.9065 0.8130
Cu: 0.9065 0.4065 0.8130
Cu: 0.5935 0.0935 0.1870
P: 0.5425 0.5425 0.0850
P: 0.8616 0.8616 0.7231
P: 0.1384 0.1384 0.2769
P: 0.4575 0.4575 0.9150
O: 0.7500 0.2500 0.5000
O: 0.2500 0.7500 0.5000

Values from the calculation:
Raw formation energy (eV per atom): -1.57
SG: I4/mmm (139)

=====

Record 16
Material: La3ZnCuRh2PbO12
Method: DFT, meta-GGA SCAN
State: PBEsol geometry

Unit cell a=5.4926 b=5.6357 c=7.8086 alpha=90.79 beta=90.37 gamma=89.93
Fractional coordinates of all 20 atoms:
La: 0.5107 0.0518 0.2468
La: 0.0150 0.4489 0.7530
La: 0.4910 0.9451 0.7489
Zn: 0.0007 0.0009 0.4994
Cu: 0.4994 0.5034 0.0026
Rh: 0.4951 0.4994 0.4984
Rh: 0.0041 0.0050 0.0019
Pb: 0.9825 0.5581 0.2577
O: 0.0835 0.9575 0.2446
O: 0.3914 0.4752 0.2557
O: 0.9125 0.0300 0.7525
O: 0.5921 0.5178 0.7465
O: 0.8075 0.2954 0.0566
O: 0.6900 0.7890 0.4525
O: 0.2014 0.6933 0.5447
O: 0.2999 0.2038 0.9549
O: 0.2082 0.7221 0.9455
O: 0.3053 0.2033 0.5453
O: 0.7920 0.3061 0.4468
O: 0.7177 0.7938 0.0457

Values from the calculation:
Raw formation energy (eV per atom): -2.09
SG: P1 (1)

=====

Record 17
Material: La2CuRhO6
Method: DFT, meta-GGA SCAN
State: PBEsol geometry

Unit cell a=5.4930 b=5.6606 c=7.7573 alpha=90.00 beta=90.07 gamma=90.00
Fractional coordinates of all 20 atoms:
La: 0.5126 0.9424 0.2496
La: 0.9874 0.4424 0.2504
La: 0.4874 0.0576 0.7504
La: 0.0126 0.5576 0.7496
Cu: 0.0000 0.0000 0.5000
Cu: 0.5000 0.5000 0.0000
Rh: 0.0000 0.0000 0.0000
Rh: 0.5000 0.5000 0.5000
O: 0.3034 0.7912 0.5468
O: 0.1966 0.2912 0.9532
O: 0.7042 0.1996 0.0454
O: 0.7958 0.6996 0.4546
O: 0.6966 0.2088 0.4532
O: 0.8034 0.7088 0.0468
O: 0.2958 0.8004 0.9546
O: 0.2042 0.3004 0.5454
O: 0.4123 0.5181 0.2499
O: 0.0877 0.0181 0.2501
O: 0.5877 0.4819 0.7501
O: 0.9123 0.9819 0.7499

Values from the calculation:
Raw formation energy (eV per atom): -2.39
SG: P2_1/c (14)